The following is a PBE calculation of an optimized crystal structure of BeTe3As, from the Alexandria database.

Results
**Total magnetization**: 0.000 μB per atom
**Fermi-level density of states**: 0.7856 states/eV per atom
**E above lowest polymorph**: 0 meV per atom
**V**: 24.17 Å³/atom

Unit cell a=4.944 b=4.944 c=4.944 alpha=90.00 beta=90.00 gamma=90.00
Space group Pm-3m (No. 221)
Asymmetric unit:
Be 0.000 0.000 0.000 [1 per cell]
Te 0.000 0.000 0.500 [3 per cell]
As 0.500 0.500 0.500 [1 per cell]